Entry 1:
Material: Li4SnS4
Method: DFT, GGA-PBEsol
State: optimized geometry

Output
energy = -4.36 eV per atom
M_tot = 0.000 μB per formula unit
density of states at the Fermi level = 0.0 states/eV/f.u.
E_form (uncorrected) = -1.06 eV per atom
calculated volume = 19.309 Å³/atom

The structure in CIF format:
```
data_Li4SnS4
_chemical_formula_sum 'Li16 Sn4 S16'
_cell_length_a 14.213
_cell_length_b 7.832
_cell_length_c 6.244
_cell_angle_alpha 90.00
_cell_angle_beta 90.00
_cell_angle_gamma 90.00
_space_group_name_H-M_alt 'P n m a'
_space_group_IT_number 62
loop_
_space_group_symop_operation_xyz
'x,y,z'
'-x,-y,-z'
'-x+1/2,-y,z+1/2'
'x+1/2,y,-z+1/2'
'x+1/2,-y+1/2,-z+1/2'
'-x+1/2,y+1/2,z+1/2'
'-x,y+1/2,-z'
'x,-y+1/2,z'
loop_
_atom_site_label
_atom_site_fract_x
_atom_site_fract_y
_atom_site_fract_z
Li1 0.000 0.000 0.000
Li2 0.090 0.250 0.373
Li3 0.177 0.503 0.818
Sn1 0.092 0.750 0.358
S1 0.069 0.250 0.769
S2 0.081 0.750 0.741
S3 0.161 0.003 0.213
```



Entry 2:
Material: MgGa2ReO
Method: DFT, GGA-PBEsol
State: optimized geometry

Output
energy = -3.44 eV per atom
M_tot = 3.719 μB per formula unit
density of states at the Fermi level = 4.2 states/eV/f.u.
E_form (uncorrected) = 1.96 eV per atom
calculated volume = 22.339 Å³/atom

The structure in CIF format:
```
data_MgGa2ReO
_chemical_formula_sum 'Mg1 Ga2 Re1 O1'
_cell_length_a 4.845
_cell_length_b 4.845
_cell_length_c 4.759
_cell_angle_alpha 90.00
_cell_angle_beta 90.00
_cell_angle_gamma 90.00
_space_group_name_H-M_alt 'P 4/m m m'
_space_group_IT_number 123
_space_group_name_Hall '-P 4 2'
loop_
_atom_site_label
_atom_site_fract_x
_atom_site_fract_y
_atom_site_fract_z
Mg1 0.000 0.000 0.000
Ga1 0.000 0.500 0.000
Re1 0.000 0.000 0.500
O1 0.500 0.500 0.500
```



Please write out number 1 again, unchanged.
Material: Li4SnS4
Method: DFT, GGA-PBEsol
State: optimized geometry

Output
energy = -4.36 eV per atom
M_tot = 0.000 μB per formula unit
density of states at the Fermi level = 0.0 states/eV/f.u.
E_form (uncorrected) = -1.06 eV per atom
calculated volume = 19.309 Å³/atom

The structure in CIF format:
```
data_Li4SnS4
_chemical_formula_sum 'Li16 Sn4 S16'
_cell_length_a 14.213
_cell_length_b 7.832
_cell_length_c 6.244
_cell_angle_alpha 90.00
_cell_angle_beta 90.00
_cell_angle_gamma 90.00
_space_group_name_H-M_alt 'P n m a'
_space_group_IT_number 62
loop_
_space_group_symop_operation_xyz
'x,y,z'
'-x,-y,-z'
'-x+1/2,-y,z+1/2'
'x+1/2,y,-z+1/2'
'x+1/2,-y+1/2,-z+1/2'
'-x+1/2,y+1/2,z+1/2'
'-x,y+1/2,-z'
'x,-y+1/2,z'
loop_
_atom_site_label
_atom_site_fract_x
_atom_site_fract_y
_atom_site_fract_z
Li1 0.000 0.000 0.000
Li2 0.090 0.250 0.373
Li3 0.177 0.503 0.818
Sn1 0.092 0.750 0.358
S1 0.069 0.250 0.769
S2 0.081 0.750 0.741
S3 0.161 0.003 0.213
```